The following is a PBE calculation of a relaxed structure of CaEr2S4, from the Alexandria database.

Structure (POSCAR):
```
CaEr2S4
1.0
-2.548 -2.957 -0.112
7.502 -6.203 -6.890
5.935 -5.548 11.457
Er S Ca
8 16 4
Direct
0.250 0.912 0.598
0.750 0.062 0.887
0.750 0.562 0.613
0.750 0.088 0.402
0.250 0.938 0.113
0.250 0.438 0.387
0.250 0.412 0.902
0.750 0.588 0.098
0.750 0.092 0.077
0.250 0.203 0.820
0.250 0.408 0.577
0.250 0.130 0.535
0.750 0.297 0.320
0.750 0.797 0.180
0.250 0.035 0.284
0.750 0.370 0.035
0.250 0.908 0.923
0.250 0.535 0.216
0.250 0.630 0.965
0.750 0.965 0.716
0.750 0.465 0.784
0.750 0.592 0.423
0.250 0.703 0.680
0.750 0.870 0.465
0.250 0.755 0.336
0.250 0.255 0.164
0.750 0.745 0.836
0.750 0.245 0.664
```

***

The following is a PBE calculation of a relaxed structure of CaEr2S3, from the Alexandria database.

Structure (POSCAR):
```
CaEr2S3
1.0
3.723 0.000 -1.127
-0.683 4.985 -2.257
0.023 0.027 6.790
Ca S Er
1 3 2
Direct
0.500 0.500 0.500
0.170 0.670 0.840
0.500 0.000 0.500
0.830 0.330 0.160
0.835 0.835 0.171
0.165 0.165 0.829
```

***

The following is a PBE calculation of a relaxed structure of CaEr5S6, from the Alexandria database.

Structure (POSCAR):
```
CaEr5S6
1.0
-1.155 -6.110 -2.588
-2.616 -3.969 4.736
-6.669 -0.311 0.810
Er S Ca
5 6 1
Direct
0.000 0.333 0.335
0.500 0.835 0.330
0.000 0.667 0.665
0.500 0.165 0.670
0.500 0.500 0.000
0.747 0.084 0.336
0.747 0.420 0.664
0.249 0.252 0.000
0.751 0.748 0.000
0.253 0.580 0.336
0.253 0.916 0.664
0.000 0.000 0.000
```

***

The following is a PBE calculation of a relaxed structure of CaEr2S, from the Alexandria database.

Structure (POSCAR):
```
CaEr2S
1.0
3.697 0.000 0.000
1.848 3.201 0.000
1.848 1.067 9.965
Ca Er S
1 2 1
Direct
0.000 0.000 0.000
0.113 0.113 0.660
0.887 0.887 0.340
0.500 0.500 0.500
```

***

The following is a PBE calculation of a relaxed structure of CaErSc4S8, from the Alexandria database.

Structure (POSCAR):
```
CaErSc4S8
1.0
-0.394 -1.687 7.526
0.683 -7.323 2.357
6.456 -2.248 3.797
S Sc Ca Er
8 4 1 1
Direct
0.243 0.788 0.726
0.788 0.243 0.726
0.232 0.752 0.264
0.758 0.758 0.727
0.235 0.235 0.294
0.752 0.232 0.264
0.243 0.243 0.726
0.752 0.752 0.264
0.626 0.626 0.121
0.494 0.002 0.502
0.002 0.494 0.502
0.002 0.002 0.502
0.372 0.372 0.883
0.001 0.001 0.996
```

***

The following is a PBE calculation of a relaxed structure of CaEr4ScS8, from the Alexandria database.

Structure (POSCAR):
```
CaEr4ScS8
1.0
-7.147 -3.417 1.181
-0.520 -7.914 1.113
-1.915 -2.928 7.099
S Er Ca Sc
8 4 1 1
Direct
0.757 0.757 0.728
0.763 0.763 0.251
0.224 0.763 0.251
0.240 0.240 0.280
0.763 0.224 0.251
0.233 0.786 0.748
0.786 0.233 0.748
0.233 0.233 0.748
0.002 0.494 0.502
0.623 0.623 0.131
0.494 0.002 0.502
0.002 0.002 0.502
0.378 0.378 0.867
0.003 0.003 0.992
```

***

The following is a PBE calculation of a relaxed structure of Ca3Er3ScS8, from the Alexandria database.

Structure (POSCAR):
```
Ca3Er3ScS8
1.0
-6.484 3.985 -1.539
0.589 -7.438 -2.150
-0.732 1.776 7.678
S Ca Er Sc
8 3 3 1
Direct
0.761 0.008 0.269
0.239 0.477 0.731
0.747 0.494 0.742
0.253 0.506 0.258
0.753 0.992 0.731
0.247 0.008 0.269
0.239 0.992 0.731
0.761 0.523 0.269
0.000 0.000 0.000
0.500 0.500 0.000
0.000 0.500 0.000
0.500 0.500 0.500
0.000 0.500 0.500
0.500 0.000 0.500
0.000 0.000 0.500
```

***

The following is a PBE calculation of a relaxed structure of CaErSc2S4, from the Alexandria database.

Structure (POSCAR):
```
CaErSc2S4
1.0
3.793 0.000 0.000
0.000 6.601 -0.150
0.000 2.307 6.189
Sc Ca S Er
2 1 4 1
Direct
0.000 0.000 0.000
0.500 0.000 0.500
0.000 0.500 0.500
0.500 0.765 0.242
0.000 0.763 0.748
0.500 0.235 0.758
0.000 0.237 0.252
0.500 0.500 0.000
```

***

Which formation energy (no corrections) belongs to each record? In order, -14.63, -12.04, -23.73, -3.07, -26.43, -27.58, -31.04, -15.50 eV/f.u..
Which uncorrected energy belongs to each record? In order, -6.04, -5.92, -6.11, -4.58, -6.52, -6.23, -6.01, -6.40 eV/atom.